Density functional theory data (PBE with a Hubbard U) for an optimized crystal structure of Li4Cr3CoP4O16.

a = 4.7690 Å, b = 6.2726 Å, c = 10.2554 Å
α = 90.00°, β = 90.51°, γ = 90.00°
With the nearest neighbours (Å) after each atom.
Space group Pm (No. 6)
Asymmetric unit:
Li: 0.0000 0.2469 0.0000 [2 per cell]  6 O 2.15-2.27
Li: 0.5110 0.2494 0.5004 [2 per cell]  6 O 2.13-2.26
Cr: 0.0541 0.5000 0.7185 [1 per cell]  4 O 2.05-2.16
Cr: 0.4524 0.5000 0.2148 [1 per cell]  4 O 2.07-2.14
Cr: 0.9562 0.0000 0.2841 [1 per cell]  4 O 2.08-2.14
Co: 0.5371 0.0000 0.7794 [1 per cell]  6 O 2.08-2.23
P: 0.0936 0.0000 0.5948 [1 per cell]  4 O 1.54-1.57
P: 0.4172 0.0000 0.0920 [1 per cell]  4 O 1.55-1.56
P: 0.5857 0.5000 0.9065 [1 per cell]  4 O 1.55-1.57
P: 0.9223 0.5000 0.4071 [1 per cell]  4 O 1.55-1.56
O: 0.2037 0.0000 0.4520 [1 per cell]  1 P 1.56
O: 0.2329 0.1960 0.6645 [2 per cell]  1 P 1.57
O: 0.2466 0.5000 0.3995 [1 per cell]  1 P 1.55
O: 0.2609 0.5000 0.9003 [1 per cell]  1 P 1.55
O: 0.2850 0.1980 0.1602 [2 per cell]  1 P 1.56
O: 0.3034 0.0000 0.9493 [1 per cell]  1 P 1.56
O: 0.6992 0.5000 0.0498 [1 per cell]  1 P 1.56
O: 0.7151 0.2988 0.8394 [2 per cell]  1 P 1.57
O: 0.7420 0.0000 0.1009 [1 per cell]  1 P 1.55
O: 0.7708 0.0000 0.6012 [1 per cell]  1 P 1.54
O: 0.7870 0.3014 0.3408 [2 per cell]  1 P 1.56
O: 0.8152 0.5000 0.5508 [1 per cell]  1 P 1.56

Computed properties:
- Total energy: -7.00 eV per atom